Entry 1:
Entry from Alexandria: an optimized crystal structure of HfTa2AlGa (PBE).

Output
Formation enthalpy at 0 K, meV per atom: 1660.5
Crystal system: tetragonal
Mass density, Mg/m³: 8.40
Magnetization, Bohr magnetons per cell: 0.0
E_tot, eV/atom: -6.425

Cell and atoms, written as CIF:
```
data_HfTa2AlGa
_chemical_formula_sum 'Hf1 Ta2 Al1 Ga1'
_cell_length_a 4.971
_cell_length_b 4.971
_cell_length_c 5.097
_cell_angle_alpha 90.00
_cell_angle_beta 90.00
_cell_angle_gamma 90.00
_symmetry_space_group_name_H-M 'P 1'
_symmetry_Int_Tables_number 1
loop_
_symmetry_equiv_pos_as_xyz
'x,y,z'
loop_
_atom_site_label
_atom_site_fract_x
_atom_site_fract_y
_atom_site_fract_z
Hf1 0.000 0.000 0.000
Ta1 0.000 0.500 0.000
Ta2 0.500 0.000 0.000
Al1 0.000 0.000 0.500
Ga1 0.500 0.500 0.500
```

Entry 2:
Entry from Alexandria: an optimized crystal structure of Ac2Cd2Ge4Mo (PBE).

Output
Formation enthalpy at 0 K, meV per atom: -289.9
Crystal system: tetragonal
Mass density, Mg/m³: 8.32
Magnetization, Bohr magnetons per cell: 0.0
E_tot, eV/atom: -4.662

Cell and atoms, written as CIF:
```
data_Ac2Cd2Ge4Mo
_chemical_formula_sum 'Ac2 Cd2 Ge4 Mo1'
_cell_length_a 6.695
_cell_length_b 6.695
_cell_length_c 6.695
_cell_angle_alpha 119.89
_cell_angle_beta 119.89
_cell_angle_gamma 90.19
_symmetry_space_group_name_H-M 'P 1'
_symmetry_Int_Tables_number 1
loop_
_symmetry_equiv_pos_as_xyz
'x,y,z'
loop_
_atom_site_label
_atom_site_fract_x
_atom_site_fract_y
_atom_site_fract_z
Ac1 0.250 0.750 0.500
Ac2 0.750 0.250 0.500
Cd1 0.202 0.202 0.000
Cd2 0.798 0.798 0.000
Ge1 0.228 0.228 0.456
Ge2 0.228 0.772 0.000
Ge3 0.772 0.228 0.000
Ge4 0.772 0.772 0.544
Mo1 0.500 0.500 0.000
```

Entry 3:
Entry from Alexandria: an optimized crystal structure of Cu2Ni3H2 (PBE).

Output
Crystal system: monoclinic
Mass density, Mg/m³: 8.17
Magnetization, Bohr magnetons per cell: 0.0
E_tot, eV/atom: -4.570

Cell and atoms, written as CIF:
```
data_Cu2Ni3H2
_chemical_formula_sum 'Cu2 Ni3 H2'
_cell_length_a 4.354
_cell_length_b 4.354
_cell_length_c 6.320
_cell_angle_alpha 109.94
_cell_angle_beta 109.94
_cell_angle_gamma 33.66
_symmetry_space_group_name_H-M 'P 1'
_symmetry_Int_Tables_number 1
loop_
_symmetry_equiv_pos_as_xyz
'x,y,z'
loop_
_atom_site_label
_atom_site_fract_x
_atom_site_fract_y
_atom_site_fract_z
Cu1 0.176 0.176 0.296
Cu2 0.824 0.824 0.704
Ni1 0.386 0.386 0.084
Ni2 0.500 0.500 0.500
Ni3 0.614 0.614 0.916
H1 0.054 0.054 0.711
H2 0.946 0.946 0.289
```

Entry 4:
Entry from Alexandria: an optimized crystal structure of YTi2F (PBE).

Output
Crystal system: tetragonal
Mass density, Mg/m³: 4.02
Magnetization, Bohr magnetons per cell: 0.0
E_tot, eV/atom: -6.580

Cell and atoms, written as CIF:
```
data_YTi2F
_chemical_formula_sum 'Y2 Ti4 F2'
_cell_length_a 6.128
_cell_length_b 6.128
_cell_length_c 6.128
_cell_angle_alpha 117.65
_cell_angle_beta 117.65
_cell_angle_gamma 94.11
_symmetry_space_group_name_H-M 'P 1'
_symmetry_Int_Tables_number 1
loop_
_symmetry_equiv_pos_as_xyz
'x,y,z'
loop_
_atom_site_label
_atom_site_fract_x
_atom_site_fract_y
_atom_site_fract_z
Y1 0.000 0.000 0.000
Y2 0.750 0.250 0.500
Ti1 0.296 0.125 0.671
Ti2 0.375 0.704 0.829
Ti3 0.454 0.625 0.329
Ti4 0.875 0.546 0.171
F1 0.250 0.750 0.500
F2 0.500 0.500 0.000
```

Entry 5:
Entry from Alexandria: an optimized crystal structure of SnBi3Br (PBE).

Output
Crystal system: cubic
Mass density, Mg/m³: 6.86
Magnetization, Bohr magnetons per cell: 0.0
E_tot, eV/atom: -2.887

Cell and atoms, written as CIF:
```
data_SnBi3Br
_chemical_formula_sum 'Sn1 Bi3 Br1'
_cell_length_a 5.847
_cell_length_b 5.847
_cell_length_c 5.847
_cell_angle_alpha 90.00
_cell_angle_beta 90.00
_cell_angle_gamma 90.00
_symmetry_space_group_name_H-M 'P 1'
_symmetry_Int_Tables_number 1
loop_
_symmetry_equiv_pos_as_xyz
'x,y,z'
loop_
_atom_site_label
_atom_site_fract_x
_atom_site_fract_y
_atom_site_fract_z
Sn1 0.000 0.000 0.000
Bi1 0.000 0.000 0.500
Bi2 0.000 0.500 0.000
Bi3 0.500 0.000 0.000
Br1 0.500 0.500 0.500
```

Entry 6:
Entry from Alexandria: an optimized crystal structure of In2AsOsF (PBE).

Output
Crystal system: tetragonal
Mass density, Mg/m³: 7.67
Magnetization, Bohr magnetons per cell: 0.0
E_tot, eV/atom: -4.454

Cell and atoms, written as CIF:
```
data_In2AsOsF
_chemical_formula_sum 'In2 As1 Os1 F1'
_cell_length_a 5.308
_cell_length_b 5.308
_cell_length_c 3.949
_cell_angle_alpha 90.00
_cell_angle_beta 90.00
_cell_angle_gamma 90.00
_symmetry_space_group_name_H-M 'P 1'
_symmetry_Int_Tables_number 1
loop_
_symmetry_equiv_pos_as_xyz
'x,y,z'
loop_
_atom_site_label
_atom_site_fract_x
_atom_site_fract_y
_atom_site_fract_z
In1 0.000 0.500 0.000
In2 0.500 0.000 0.000
As1 0.000 0.000 0.500
Os1 0.500 0.500 0.000
F1 0.500 0.500 0.500
```

Entry 7:
Entry from Alexandria: an optimized crystal structure of PtW2Se (PBE).

Output
Crystal system: orthorhombic
Mass density, Mg/m³: 15.52
Magnetization, Bohr magnetons per cell: 0.0
E_tot, eV/atom: -8.559

Cell and atoms, written as CIF:
```
data_PtW2Se
_chemical_formula_sum 'Pt1 W2 Se1'
_cell_length_a 2.825
_cell_length_b 2.825
_cell_length_c 8.882
_cell_angle_alpha 90.00
_cell_angle_beta 90.00
_cell_angle_gamma 104.41
_symmetry_space_group_name_H-M 'P 1'
_symmetry_Int_Tables_number 1
loop_
_symmetry_equiv_pos_as_xyz
'x,y,z'
loop_
_atom_site_label
_atom_site_fract_x
_atom_site_fract_y
_atom_site_fract_z
Pt1 0.000 0.000 0.000
W1 0.000 0.000 0.462
W2 0.500 0.500 0.224
Se1 0.500 0.500 0.699
```

Entry 8:
Entry from Alexandria: an optimized crystal structure of HoTm3Tl (PBE).

Output
Formation enthalpy at 0 K, meV per atom: -110.0
Crystal system: orthorhombic
Mass density, Mg/m³: 10.27
Magnetization, Bohr magnetons per cell: 0.1
E_tot, eV/atom: -4.182

Cell and atoms, written as CIF:
```
data_HoTm3Tl
_chemical_formula_sum 'Ho2 Tm6 Tl2'
_cell_length_a 12.795
_cell_length_b 12.795
_cell_length_c 4.736
_cell_angle_alpha 90.00
_cell_angle_beta 90.00
_cell_angle_gamma 158.56
_symmetry_space_group_name_H-M 'P 1'
_symmetry_Int_Tables_number 1
loop_
_symmetry_equiv_pos_as_xyz
'x,y,z'
loop_
_atom_site_label
_atom_site_fract_x
_atom_site_fract_y
_atom_site_fract_z
Ho1 0.149 0.851 0.750
Ho2 0.851 0.149 0.250
Tm1 0.047 0.953 0.250
Tm2 0.251 0.749 0.250
Tm3 0.448 0.552 0.250
Tm4 0.552 0.448 0.750
Tm5 0.749 0.251 0.750
Tm6 0.953 0.047 0.750
Tl1 0.349 0.651 0.750
Tl2 0.651 0.349 0.250
```

Entry 9:
Entry from Alexandria: an optimized crystal structure of Cs3TeF (PBE).

Output
Crystal system: trigonal
Mass density, Mg/m³: 2.22
Magnetization, Bohr magnetons per cell: 0.0
E_tot, eV/atom: -3.020

Cell and atoms, written as CIF:
```
data_Cs3TeF
_chemical_formula_sum 'Cs3 Te1 F1'
_cell_length_a 7.447
_cell_length_b 7.447
_cell_length_c 7.447
_cell_angle_alpha 84.38
_cell_angle_beta 84.38
_cell_angle_gamma 84.38
_symmetry_space_group_name_H-M 'P 1'
_symmetry_Int_Tables_number 1
loop_
_symmetry_equiv_pos_as_xyz
'x,y,z'
loop_
_atom_site_label
_atom_site_fract_x
_atom_site_fract_y
_atom_site_fract_z
Cs1 0.191 0.191 0.618
Cs2 0.191 0.618 0.191
Cs3 0.618 0.191 0.191
Te1 0.124 0.124 0.124
F1 0.425 0.425 0.425
```

Entry 10:
Entry from Alexandria: an optimized crystal structure of Ca3Pr2TmTe6 (PBE).

Output
Crystal system: monoclinic
Mass density, Mg/m³: 5.83
Magnetization, Bohr magnetons per cell: 0.0
E_tot, eV/atom: -4.721

Cell and atoms, written as CIF:
```
data_Ca3Pr2TmTe6
_chemical_formula_sum 'Ca3 Pr2 Tm1 Te6'
_cell_length_a 7.703
_cell_length_b 7.703
_cell_length_c 7.841
_cell_angle_alpha 99.47
_cell_angle_beta 99.47
_cell_angle_gamma 119.89
_symmetry_space_group_name_H-M 'P 1'
_symmetry_Int_Tables_number 1
loop_
_symmetry_equiv_pos_as_xyz
'x,y,z'
loop_
_atom_site_label
_atom_site_fract_x
_atom_site_fract_y
_atom_site_fract_z
Ca1 0.000 0.000 0.000
Ca2 0.329 0.671 0.000
Ca3 0.671 0.329 0.000
Pr1 0.165 0.835 0.500
Pr2 0.835 0.165 0.500
Tm1 0.500 0.500 0.500
Te1 0.095 0.417 0.249
Te2 0.264 0.264 0.753
Te3 0.417 0.095 0.249
Te4 0.583 0.905 0.751
Te5 0.736 0.736 0.247
Te6 0.905 0.583 0.751
```

Entry 11:
Entry from Alexandria: an optimized crystal structure of SrSiMo2 (PBE).

Output
Crystal system: monoclinic
Mass density, Mg/m³: 6.62
Magnetization, Bohr magnetons per cell: 0.0
E_tot, eV/atom: -6.685

Cell and atoms, written as CIF:
```
data_SrSiMo2
_chemical_formula_sum 'Sr1 Si1 Mo2'
_cell_length_a 6.052
_cell_length_b 6.052
_cell_length_c 5.267
_cell_angle_alpha 113.58
_cell_angle_beta 113.58
_cell_angle_gamma 26.02
_symmetry_space_group_name_H-M 'P 1'
_symmetry_Int_Tables_number 1
loop_
_symmetry_equiv_pos_as_xyz
'x,y,z'
loop_
_atom_site_label
_atom_site_fract_x
_atom_site_fract_y
_atom_site_fract_z
Sr1 0.000 0.000 0.000
Si1 0.500 0.500 0.500
Mo1 0.203 0.203 0.694
Mo2 0.797 0.797 0.306
```

Entry 12:
Entry from Alexandria: an optimized crystal structure of SmHoCd (PBE).

Output
Formation enthalpy at 0 K, meV per atom: -75.2
Crystal system: trigonal
Mass density, Mg/m³: 8.17
Magnetization, Bohr magnetons per cell: 0.0
E_tot, eV/atom: -3.479

Cell and atoms, written as CIF:
```
data_SmHoCd
_chemical_formula_sum 'Sm1 Ho1 Cd1'
_cell_length_a 5.272
_cell_length_b 5.272
_cell_length_c 3.610
_cell_angle_alpha 90.00
_cell_angle_beta 90.00
_cell_angle_gamma 120.00
_symmetry_space_group_name_H-M 'P 1'
_symmetry_Int_Tables_number 1
loop_
_symmetry_equiv_pos_as_xyz
'x,y,z'
loop_
_atom_site_label
_atom_site_fract_x
_atom_site_fract_y
_atom_site_fract_z
Sm1 0.000 0.000 0.000
Ho1 0.667 0.333 0.443
Cd1 0.333 0.667 0.671
```

Entry 13:
Entry from Alexandria: an optimized crystal structure of Li6La3Pb5 (PBE).

Output
Formation enthalpy at 0 K, meV per atom: -470.2
Crystal system: orthorhombic
Mass density, Mg/m³: 7.19
Magnetization, Bohr magnetons per cell: 0.0
E_tot, eV/atom: -3.671

Cell and atoms, written as CIF:
```
data_Li6La3Pb5
_chemical_formula_sum 'Li12 La6 Pb10'
_cell_length_a 4.735
_cell_length_b 14.170
_cell_length_c 10.288
_cell_angle_alpha 90.00
_cell_angle_beta 90.00
_cell_angle_gamma 90.00
_symmetry_space_group_name_H-M 'P 1'
_symmetry_Int_Tables_number 1
loop_
_symmetry_equiv_pos_as_xyz
'x,y,z'
loop_
_atom_site_label
_atom_site_fract_x
_atom_site_fract_y
_atom_site_fract_z
Li1 0.250 0.076 0.097
Li2 0.250 0.250 0.532
Li3 0.250 0.250 0.950
Li4 0.250 0.424 0.097
Li5 0.250 0.588 0.487
Li6 0.250 0.912 0.487
Li7 0.750 0.088 0.513
Li8 0.750 0.412 0.513
Li9 0.750 0.576 0.903
Li10 0.750 0.750 0.050
Li11 0.750 0.750 0.468
Li12 0.750 0.924 0.903
La1 0.250 0.064 0.740
La2 0.250 0.436 0.740
La3 0.250 0.750 0.739
La4 0.750 0.250 0.261
La5 0.750 0.564 0.260
La6 0.750 0.936 0.260
Pb1 0.250 0.093 0.365
Pb2 0.250 0.407 0.365
Pb3 0.250 0.624 0.026
Pb4 0.250 0.750 0.302
Pb5 0.250 0.876 0.026
Pb6 0.750 0.124 0.974
Pb7 0.750 0.250 0.698
Pb8 0.750 0.376 0.974
Pb9 0.750 0.593 0.635
Pb10 0.750 0.907 0.635
```

Entry 14:
Entry from Alexandria: an optimized crystal structure of KPt4W (PBE).

Output
Formation enthalpy at 0 K, meV per atom: 455.5
Crystal system: cubic
Mass density, Mg/m³: 15.36
Magnetization, Bohr magnetons per cell: 1.7
E_tot, eV/atom: -5.913

Cell and atoms, written as CIF:
```
data_KPt4W
_chemical_formula_sum 'K1 Pt4 W1'
_cell_length_a 5.353
_cell_length_b 5.353
_cell_length_c 5.353
_cell_angle_alpha 60.00
_cell_angle_beta 60.00
_cell_angle_gamma 60.00
_symmetry_space_group_name_H-M 'P 1'
_symmetry_Int_Tables_number 1
loop_
_symmetry_equiv_pos_as_xyz
'x,y,z'
loop_
_atom_site_label
_atom_site_fract_x
_atom_site_fract_y
_atom_site_fract_z
K1 0.000 0.000 0.000
Pt1 0.126 0.625 0.625
Pt2 0.625 0.126 0.625
Pt3 0.625 0.625 0.126
Pt4 0.625 0.625 0.625
W1 0.250 0.250 0.250
```

Entry 15:
Entry from Alexandria: an optimized crystal structure of ThCdGa2Pd2 (PBE).

Output
Formation enthalpy at 0 K, meV per atom: -594.0
Crystal system: trigonal
Mass density, Mg/m³: 9.81
Magnetization, Bohr magnetons per cell: 0.0
E_tot, eV/atom: -4.723

Cell and atoms, written as CIF:
```
data_ThCdGa2Pd2
_chemical_formula_sum 'Th1 Cd1 Ga2 Pd2'
_cell_length_a 4.452
_cell_length_b 4.452
_cell_length_c 6.872
_cell_angle_alpha 90.00
_cell_angle_beta 90.00
_cell_angle_gamma 120.00
_symmetry_space_group_name_H-M 'P 1'
_symmetry_Int_Tables_number 1
loop_
_symmetry_equiv_pos_as_xyz
'x,y,z'
loop_
_atom_site_label
_atom_site_fract_x
_atom_site_fract_y
_atom_site_fract_z
Th1 0.000 0.000 0.000
Cd1 0.000 0.000 0.500
Ga1 0.333 0.667 0.731
Ga2 0.667 0.333 0.269
Pd1 0.333 0.667 0.315
Pd2 0.667 0.333 0.685
```